# 1
ErThPdRh, relaxed, DFT PBE; VASP energy = -0.25955 hartree per atom; DFT formation energy = -0.9310 eV per atom; relative energy among the computed polymorphs = 0 meV/atom; total magnetic moment = 0.00 Bohr magnetons per cell
1.0
3.819 0.000 0.000
0.000 4.245 0.000
-1.909 0.000 5.593
Rh Er Th Pd
1 1 1 1
Cartesian
0.000 0.000 4.503
0.000 0.000 1.583
1.909 2.123 4.095
1.909 2.123 1.005

=====

# 2
ErThPdRh, relaxed, DFT PBE; VASP energy = -0.25440 hartree per atom; DFT formation energy = -0.7909 eV per atom; relative energy among the computed polymorphs = 140 meV/atom; total magnetic moment = 0.00 Bohr magnetons per cell
1.0
5.000 0.000 0.000
2.500 4.330 0.000
2.500 1.443 4.082
Pd Th Er Rh
1 1 1 1
Cartesian
0.000 0.000 0.000
7.499 4.330 3.062
2.500 1.443 1.021
5.000 2.886 2.041

=====

# 3
ErTiPdRh, relaxed, DFT PBE; VASP energy = -0.25397 hartree per atom; DFT formation energy = -0.6604 eV per atom; total magnetic moment = 0.00 Bohr magnetons per cell
1.0
-0.818 -3.696 2.709
2.954 -3.597 -0.017
2.699 -0.813 3.704
Rh Er Ti Pd
1 1 1 1
Cartesian
3.626 -6.080 4.797
0.000 0.000 0.000
2.417 -4.053 3.198
1.209 -2.027 1.599

=====

# 4
ErTlPdRh, relaxed, DFT PBE; VASP energy = -0.20057 hartree per atom; DFT formation energy = -0.5893 eV per atom; total magnetic moment = 0.00 Bohr magnetons per cell
1.0
4.494 0.000 0.000
0.000 4.494 0.000
-2.247 -2.247 3.768
Er Tl Rh Pd
1 1 1 1
Cartesian
0.000 2.247 1.884
2.247 0.000 1.884
0.000 4.494 0.000
0.000 0.000 3.768